Density functional theory data (PBE+U) for crystalline MnAlMoIrF at its relaxed geometry.

Cell: 9.554 2.866 7.091 Å, 90.00 126.01 90.00°
Space group Cm (No. 8)
One atom of each set of equivalent atoms:
1 Mn 0.000 0.000 0.000
2 Al 0.316 0.500 0.350
3 Mo 0.092 0.500 0.741
4 Ir 0.267 0.000 0.600
5 F 0.365 0.500 0.141

Magnetization ... 5.1 μB per formula unit
Total energy ... -6.07 eV/atom
Density of states at the Fermi level ... 1.43 states/eV/f.u.